# 1
Material: VCr3H
Method: DFT, GGA-PBEsol
State: relaxed

a = 3.667 Å, b = 3.667 Å, c = 3.667 Å
α = 90.00°, β = 90.00°, γ = 90.00°
Positions (direct):
Cr (0.000, 0.500, 0.000)
Cr (0.000, 0.000, 0.500)
Cr (0.500, 0.000, 0.000)
H (0.000, 0.000, 0.000)
V (0.500, 0.500, 0.500)

## Properties
space group	Pm-3m (221)
DFT total energy	-42.59	eV per cell
density of states at the Fermi level	1.543	states/eV per atom
total magnetic moment	0.005	μB/f.u.


# 2
Material: YCr2H
Method: DFT, GGA-PBEsol
State: relaxed

a = 4.518 Å, b = 4.518 Å, c = 4.518 Å
α = 60.00°, β = 60.00°, γ = 60.00°
Positions (direct):
Cr (0.750, 0.750, 0.750)
Cr (0.250, 0.250, 0.250)
H (0.000, 0.000, 0.000)
Y (0.500, 0.500, 0.500)

## Properties
space group	Fm-3m (225)
DFT total energy	-25.10	eV per cell
density of states at the Fermi level	0.949	states/eV per atom
total magnetic moment	7.468	μB/f.u.


# 3
Material: Y2CrH
Method: DFT, GGA-PBEsol
State: relaxed

a = 5.887 Å, b = 5.887 Å, c = 5.887 Å
α = 107.82°, β = 110.30°, γ = 110.30°
Positions (direct):
H (0.000, 0.500, 0.500)
H (0.500, 0.250, 0.750)
Y (0.093, 0.218, 0.625)
Y (0.407, 0.875, 0.782)
Y (0.593, 0.375, 0.468)
Y (0.907, 0.532, 0.125)
Cr (0.500, 0.750, 0.250)
Cr (0.000, 0.000, 0.000)

## Properties
space group	I-42d (122)
DFT total energy	-52.78	eV per cell
density of states at the Fermi level	0.699	states/eV per atom
total magnetic moment	3.097	μB/f.u.


# 4
Material: Y2CrH6
Method: DFT, GGA-PBEsol
State: relaxed

a = 4.865 Å, b = 4.865 Å, c = 4.865 Å
α = 60.00°, β = 60.00°, γ = 60.00°
Positions (direct):
Cr (0.000, 0.000, 0.000)
H (0.752, 0.752, 0.248)
H (0.248, 0.752, 0.752)
H (0.248, 0.248, 0.752)
H (0.752, 0.248, 0.752)
H (0.248, 0.752, 0.248)
H (0.752, 0.248, 0.248)
Y (0.750, 0.750, 0.750)
Y (0.250, 0.250, 0.250)

## Properties
space group	Fm-3m (225)
DFT total energy	-48.67	eV per cell
density of states at the Fermi level	0.073	states/eV per atom
total magnetic moment	0.000	μB/f.u.